[1]
The following is a DFT calculation (PBE-GGA) of a relaxed structure of NpAlS3.

**Relative energy among the computed polymorphs**: 0.000 eV per atom
**E**: -6.958 eV per atom
**Formation energy from raw total energies**: -110 kJ/mol of atoms
**Magnetization**: 8.00 Bohr magnetons per cell

a = 3.8409 Å, b = 7.6426 Å, c = 7.5750 Å
α = 95.06°, β = 104.69°, γ = 90.00°
Last column: magnetic moment on the atom in μB.
Fractional positions:
Np 0.6857 0.7044 0.3714  3.86
Np 0.3143 0.2956 0.6286  3.86
Al 0.9053 0.8572 0.8106  0.02
Al 0.0947 0.1428 0.1894  0.02
S 0.9402 0.1685 0.8803  -0.04
S 0.0598 0.8315 0.1197  -0.04
S 0.3137 0.8958 0.6273  -0.04
S 0.6863 0.1042 0.3727  -0.04
S 0.1466 0.4496 0.2931  -0.08
S 0.8534 0.5504 0.7069  -0.08



[2]
The following is a DFT calculation (PBE-GGA) of a relaxed structure of V2BiP.

**E**: -6.602 eV per atom
**Energy of formation from the pure elements**: 0.28 eV per atom
**Magnetization**: 0.22 Bohr magnetons per cell

a = 4.5139 Å, b = 4.5139 Å, c = 4.5139 Å
α = 60.00°, β = 60.00°, γ = 60.00°
Last column: magnetic moment on the atom in μB.
Fractional positions:
P 0.0000 0.0000 0.0000  -0.01
Bi 0.5000 0.5000 0.5000  -0.01
V 0.2500 0.2500 0.2500  0.11
V 0.7500 0.7500 0.7500  0.11



[3]
The following is a DFT calculation (PBE-GGA) of a relaxed structure of UPaPtAu.

**E**: -8.005 eV per atom
**Energy of formation from the pure elements**: -0.48 eV per atom
**Magnetization**: 4.01 Bohr magnetons per cell

a = 4.8542 Å, b = 4.8542 Å, c = 4.8542 Å
α = 60.00°, β = 60.00°, γ = 60.00°
Last column: magnetic moment on the atom in μB.
Fractional positions:
Au 0.7500 0.7500 0.7500  -0.01
Pa 0.5000 0.5000 0.5000  1.32
U 0.2500 0.2500 0.2500  2.54
Pt 0.0000 0.0000 0.0000  -0.04